{"formula": "Na3AsOs", "functional": "PBE-GGA", "state": "relaxed", "e_above_lowest_polymorph_mev_per_atom": 0, "space_group": "Pm-3m, No. 221", "ef_ev_per_atom": 1.155, "cell": [[5.4642, 0.0000, 0.0000], [0.0000, 5.4642, 0.0000], [0.0000, 0.0000, 5.4642]], "species": ["Na", "Na", "Na", "As", "Os"], "fractional_positions": [[0.0000, 0.0000, 0.5000], [0.0000, 0.5000, 0.0000], [0.5000, 0.0000, 0.0000], [0.0000, 0.0000, 0.0000], [0.5000, 0.5000, 0.5000]]}


{"formula": "LuVIrRh", "functional": "PBE-GGA", "state": "relaxed", "space_group": "F-43m, No. 216", "ef_ev_per_atom": -0.480, "cell": [[6.4213, 0.0000, 0.0000], [0.0000, 6.4213, 0.0000], [0.0000, 0.0000, 6.4213]], "species": ["Lu", "Lu", "Lu", "Lu", "V", "V", "V", "V", "Ir", "Ir", "Ir", "Ir", "Rh", "Rh", "Rh", "Rh"], "fractional_positions": [[0.0000, 0.0000, 0.0000], [0.0000, 0.5000, 0.5000], [0.5000, 0.0000, 0.5000], [0.5000, 0.5000, 0.0000], [0.0000, 0.0000, 0.5000], [0.0000, 0.5000, 0.0000], [0.5000, 0.0000, 0.0000], [0.5000, 0.5000, 0.5000], [0.2500, 0.2500, 0.2500], [0.2500, 0.7500, 0.7500], [0.7500, 0.2500, 0.7500], [0.7500, 0.7500, 0.2500], [0.2500, 0.2500, 0.7500], [0.2500, 0.7500, 0.2500], [0.7500, 0.2500, 0.2500], [0.7500, 0.7500, 0.7500]]}


{"formula": "Cs2CuSeI", "functional": "PBE-GGA", "state": "relaxed", "e_above_lowest_polymorph_mev_per_atom": 0, "space_group": "P4/mmm, No. 123", "e_form_raw_mev_per_atom": -914, "cell": [[7.1171, 0.0000, 0.0000], [0.0000, 7.1171, 0.0000], [0.0000, 0.0000, 4.5057]], "species": ["Cs", "Cs", "Cu", "Se", "I"], "fractional_positions": [[0.0000, 0.5000, 0.0000], [0.5000, 0.0000, 0.0000], [0.0000, 0.0000, 0.5000], [0.0000, 0.0000, 0.0000], [0.5000, 0.5000, 0.5000]]}